# ZnO

A geometry-optimized ZnO structure (GGA-PBEsol, the Alexandria database).

Cell: 3.4240 3.4240 4.4774 Å, 90.00 90.00 120.00°
Last column: nearest neighbours and their distance in Å.
Fractional positions:
Zn (0.3333, 0.6667, 0.7500)  3 O 1.98
Zn (0.6667, 0.3333, 0.2500)  3 O 1.98
O (0.6667, 0.3333, 0.7500)  3 Zn 1.98
O (0.3333, 0.6667, 0.2500)  3 Zn 1.98

Properties
Calculated volume = 45.5 Å³ per cell
Energy relative to the elements, uncorrected = -266 kJ/mol of formula units
Space-group type = P6_3/mmc (194)
E = -4.792 eV/atom


# SiSb2TeAs

A geometry-optimized SiSb2TeAs structure (GGA-PBEsol, the Alexandria database).

Cell: 5.3051 5.3051 5.2206 Å, 90.00 90.00 90.00°
Last column: nearest neighbours and their distance in Å.
Fractional positions:
Sb (0.0000, 0.5000, 0.0000)  2 As 2.65
Sb (0.5000, 0.0000, 0.0000)  2 As 2.65
As (0.0000, 0.0000, 0.0000)  2 Te 2.61, 4 Sb 2.65
Te (0.0000, 0.0000, 0.5000)  2 As 2.61
Si (0.5000, 0.5000, 0.5000)  8 Sb 3.72, 4 Te 3.75

Properties
Calculated volume = 146.9 Å³ per cell
Energy relative to the elements, uncorrected = 443 kJ/mol of formula units
Space-group type = P4/mmm (123)
E = -3.780 eV/atom


# YBe2Co2

A geometry-optimized YBe2Co2 structure (GGA-PBEsol, the Alexandria database).

Cell: 3.7485 3.7485 5.2196 Å, 111.04 111.04 90.00°
Last column: nearest neighbours and their distance in Å.
Fractional positions:
Y (0.0000, 0.0000, 0.0000)  8 Co 2.89, 8 Be 2.93
Be (0.2500, 0.7500, 0.5000)  4 Co 2.18
Be (0.7500, 0.2500, 0.5000)  4 Co 2.18
Co (0.3728, 0.3728, 0.7457)  4 Be 2.18, 1 Co 2.29
Co (0.6272, 0.6272, 0.2543)  4 Be 2.18, 1 Co 2.29

Properties
Calculated volume = 63.2 Å³ per cell
Formation enthalpy at 0 K = -0.14 eV per atom
Space-group type = I4/mmm (139)
E = -6.203 eV/atom


# ReSiPb2

A geometry-optimized ReSiPb2 structure (GGA-PBEsol, the Alexandria database).

Cell: 3.0241 3.0241 10.0001 Å, 90.00 90.00 112.37°
Last column: nearest neighbours and their distance in Å.
Fractional positions:
Pb (0.0000, 0.0000, 0.2665)  2 Re 2.88, 4 Pb 3.02, 2 Si 3.15
Pb (0.0000, 0.0000, 0.7335)  2 Re 2.88, 4 Pb 3.02, 2 Si 3.15
Re (0.5000, 0.5000, 0.5000)  4 Pb 2.88, 4 Re 3.02
Si (0.5000, 0.5000, 0.0000)  6 Si 3.02-3.37, 4 Pb 3.15

Properties
Calculated volume = 84.6 Å³ per cell
Energy relative to the elements, uncorrected = 399 kJ/mol of formula units
Space-group type = Cmmm (65)
E = -5.735 eV/atom


# La5Zn3

A geometry-optimized La5Zn3 structure (GGA-PBEsol, the Alexandria database).

Cell: 6.6319 8.8649 8.8649 Å, 120.00 90.00 90.00°
Last column: nearest neighbours and their distance in Å.
Fractional positions:
La (0.0000, 0.6667, 0.3333)  6 Zn 3.17, 2 La 3.32
La (0.5000, 0.3333, 0.6667)  6 Zn 3.17, 2 La 3.32
La (0.0000, 0.3333, 0.6667)  6 Zn 3.17, 2 La 3.32
La (0.5000, 0.6667, 0.3333)  6 Zn 3.17, 2 La 3.32
La (0.7500, 0.7598, 0.7598)  3 Zn 3.11-3.17
La (0.2500, 0.2402, 0.2402)  3 Zn 3.11-3.17
La (0.7500, 0.0000, 0.2402)  3 Zn 3.11-3.17
La (0.7500, 0.2402, 0.0000)  3 Zn 3.11-3.17
La (0.2500, 0.7598, 0.0000)  3 Zn 3.11-3.17
La (0.2500, 0.0000, 0.7598)  3 Zn 3.11-3.17
Zn (0.7500, 0.4022, 0.4022)  7 La 3.11-3.17
Zn (0.2500, 0.5978, 0.5978)  7 La 3.11-3.17
Zn (0.7500, 0.0000, 0.5978)  7 La 3.11-3.17
Zn (0.7500, 0.5978, 0.0000)  7 La 3.11-3.17
Zn (0.2500, 0.4022, 0.0000)  7 La 3.11-3.17
Zn (0.2500, 0.0000, 0.4022)  7 La 3.11-3.17

Properties
Calculated volume = 451.4 Å³ per cell
Formation enthalpy at 0 K = -0.14 eV per atom
Energy above the most stable polymorph in this dataset = 24 meV per atom
Space-group type = P6_3/mcm (193)
E = -4.072 eV/atom


# Ta2CoPt

A geometry-optimized Ta2CoPt structure (GGA-PBEsol, the Alexandria database).

Cell: 3.9015 3.9001 4.7718 Å, 114.12 114.13 90.00°
Last column: nearest neighbours and their distance in Å.
Fractional positions:
Co (0.5000, 0.0000, 0.0000)  8 Ta 2.76, 4 Pt 2.76
Pt (0.0000, 0.5000, 0.0000)  8 Ta 2.76, 4 Co 2.76
Ta (0.7500, 0.7500, 0.5000)  4 Pt 2.76, 4 Co 2.76, 4 Ta 2.76
Ta (0.2500, 0.2500, 0.5000)  4 Pt 2.76, 4 Co 2.76, 4 Ta 2.76

Properties
Calculated volume = 59.2 Å³ per cell
Formation enthalpy at 0 K = -0.39 eV per atom
Space-group type = I4/mmm (139)
E = -10.344 eV/atom


# LaMgIn2

A geometry-optimized LaMgIn2 structure (GGA-PBEsol, the Alexandria database).

Cell: 3.6383 3.6383 7.6854 Å, 90.00 90.00 90.00°
Last column: nearest neighbours and their distance in Å.
Fractional positions:
Mg (0.5000, 0.5000, 0.5000)  8 In 3.05
La (0.5000, 0.5000, 0.0000)  8 In 3.39, 4 La 3.64
In (0.0000, 0.0000, 0.7130)  4 Mg 3.05, 1 In 3.27, 4 La 3.39
In (0.0000, 0.0000, 0.2870)  4 Mg 3.05, 1 In 3.27, 4 La 3.39

Properties
Calculated volume = 101.7 Å³ per cell
Formation enthalpy at 0 K = -0.37 eV per atom
Space-group type = P4/mmm (123)
E = -3.626 eV/atom


# BaNi2Pt

A geometry-optimized BaNi2Pt structure (GGA-PBEsol, the Alexandria database).

Cell: 4.5883 4.5883 4.5883 Å, 60.00 60.00 60.00°
Last column: nearest neighbours and their distance in Å.
Fractional positions:
Ba (0.5000, 0.5000, 0.5000)  8 Ni 2.81
Ni (0.2500, 0.2500, 0.2500)  4 Ba 2.81, 4 Pt 2.81
Ni (0.7500, 0.7500, 0.7500)  4 Ba 2.81, 4 Pt 2.81
Pt (0.0000, 0.0000, 0.0000)  8 Ni 2.81

Properties
Calculated volume = 68.3 Å³ per cell
Formation enthalpy at 0 K = 0.37 eV per atom
Space-group type = Fm-3m (225)
E = -4.989 eV/atom


# Cu3BiMo

A geometry-optimized Cu3BiMo structure (GGA-PBEsol, the Alexandria database).

Cell: 4.6266 4.6266 4.6266 Å, 90.00 90.00 90.00°
Last column: nearest neighbours and their distance in Å.
Fractional positions:
Mo (0.0000, 0.0000, 0.0000)  6 Cu 2.31
Bi (0.5000, 0.5000, 0.5000)  12 Cu 3.27
Cu (0.0000, 0.5000, 0.0000)  2 Mo 2.31
Cu (0.0000, 0.0000, 0.5000)  2 Mo 2.31
Cu (0.5000, 0.0000, 0.0000)  2 Mo 2.31

Properties
Calculated volume = 99.0 Å³ per cell
Formation enthalpy at 0 K = 1.33 eV per atom
Space-group type = Pm-3m (221)
E = -4.484 eV/atom


# KIn2Rh

A geometry-optimized KIn2Rh structure (GGA-PBEsol, the Alexandria database).

Cell: 3.1372 5.3616 5.3616 Å, 108.66 90.00 90.00°
Last column: nearest neighbours and their distance in Å.
Fractional positions:
In (0.0000, 0.5000, 0.0000)  4 K 3.11, 4 Rh 3.11, 4 In 3.13-3.14
In (0.0000, 0.0000, 0.5000)  4 Rh 3.11, 4 K 3.11, 4 In 3.13-3.14
K (0.5000, 0.0000, 0.0000)  8 In 3.11, 2 Rh 3.13, 2 K 3.14
Rh (0.5000, 0.5000, 0.5000)  8 In 3.11, 2 K 3.13, 2 Rh 3.14

Properties
Calculated volume = 85.4 Å³ per cell
Formation enthalpy at 0 K = 0.38 eV per atom
Space-group type = Cmmm (65)
E = -3.433 eV/atom


# HfCd2Cu2

A geometry-optimized HfCd2Cu2 structure (GGA-PBEsol, the Alexandria database).

Cell: 3.8267 3.8267 6.5048 Å, 107.11 107.11 90.00°
Last column: nearest neighbours and their distance in Å.
Fractional positions:
Hf (0.0000, 0.0000, 0.0000)  8 Cu 2.93
Cu (0.4052, 0.4052, 0.8104)  1 Cu 2.24
Cu (0.5948, 0.5948, 0.1896)  1 Cu 2.24
Cd (0.2500, 0.7500, 0.5000)  4 Cu 2.65, 4 Cd 2.71
Cd (0.7500, 0.2500, 0.5000)  4 Cu 2.65, 4 Cd 2.71

Properties
Calculated volume = 86.6 Å³ per cell
Formation enthalpy at 0 K = 0.14 eV per atom
Space-group type = I4/mmm (139)
E = -4.175 eV/atom


# HoTaO4

A geometry-optimized HoTaO4 structure (GGA-PBEsol, the Alexandria database).

Cell: 5.0311 5.2752 6.4334 Å, 111.76 110.48 95.77°
Last column: nearest neighbours and their distance in Å.
Fractional positions:
Ho (0.6181, 0.3681, 0.7362)  8 O 2.27-2.43
Ho (0.3819, 0.6319, 0.2638)  8 O 2.27-2.43
Ta (0.1491, 0.8991, 0.7983)  4 O 1.87-1.95
Ta (0.8509, 0.1009, 0.2017)  4 O 1.87-1.95
O (0.9955, 0.2138, 0.9394)  1 Ta 1.95
O (0.4440, 0.7257, 0.9394)  1 Ta 1.95
O (0.0045, 0.7862, 0.0606)  1 Ta 1.95
O (0.5560, 0.2743, 0.0606)  1 Ta 1.95
O (0.7895, 0.6298, 0.5765)  1 Ta 1.87
O (0.2870, 0.9467, 0.5765)  1 Ta 1.87
O (0.2105, 0.3702, 0.4235)  1 Ta 1.87
O (0.7130, 0.0533, 0.4235)  1 Ta 1.87

Properties
Calculated volume = 143.3 Å³ per cell
Energy relative to the elements, uncorrected = -1916 kJ/mol of formula units
Space-group type = C2/c (15)
E = -9.726 eV/atom


# Mg2IrBr

A geometry-optimized Mg2IrBr structure (GGA-PBEsol, the Alexandria database).

Cell: 4.6785 4.6785 4.6785 Å, 60.00 60.00 60.00°
Last column: nearest neighbours and their distance in Å.
Fractional positions:
Br (0.0000, 0.0000, 0.0000)  8 Mg 2.87
Ir (0.5000, 0.5000, 0.5000)  8 Mg 2.87
Mg (0.2500, 0.2500, 0.2500)  4 Br 2.87, 4 Ir 2.87
Mg (0.7500, 0.7500, 0.7500)  4 Ir 2.87, 4 Br 2.87

Properties
Calculated volume = 72.4 Å³ per cell
Energy relative to the elements, uncorrected = 26 kJ/mol of formula units
Space-group type = Fm-3m (225)
E = -3.715 eV/atom


# Ni5Ir4

A geometry-optimized Ni5Ir4 structure (GGA-PBEsol, the Alexandria database).

Cell: 3.7053 5.7345 5.7345 Å, 84.01 71.15 71.15°
Last column: nearest neighbours and their distance in Å.
Fractional positions:
Ir (0.3270, 0.6730, 0.6730)  7 Ni 2.51-2.57, 5 Ir 2.64-2.66
Ir (0.6730, 0.3270, 0.3270)  7 Ni 2.51-2.57, 5 Ir 2.64-2.66
Ir (0.0000, 0.6730, 0.3270)  7 Ni 2.51-2.57, 5 Ir 2.64-2.66
Ir (0.0000, 0.3270, 0.6730)  7 Ni 2.51-2.57, 5 Ir 2.64-2.66
Ni (0.0000, 0.0000, 0.0000)  4 Ir 2.51, 8 Ni 2.58
Ni (0.3347, 0.3306, 0.0000)  6 Ni 2.54-2.61, 6 Ir 2.57
Ni (0.6653, 0.6694, 0.0000)  6 Ni 2.54-2.61, 6 Ir 2.57
Ni (0.6653, 0.0000, 0.6694)  6 Ni 2.54-2.61, 6 Ir 2.57
Ni (0.3347, 0.0000, 0.3306)  6 Ni 2.54-2.61, 6 Ir 2.57

Properties
Calculated volume = 109.1 Å³ per cell
Formation enthalpy at 0 K = 0.05 eV per atom
Space-group type = I4/mmm (139)
E = -7.735 eV/atom


# HoFe3B4O12

A geometry-optimized HoFe3B4O12 structure (GGA-PBEsol, the Alexandria database).

Cell: 5.8746 5.8746 5.8746 Å, 104.59 104.59 104.59°
Last column: nearest neighbours and their distance in Å.
Fractional positions:
Ho (0.5000, 0.5000, 0.5000)  6 O 2.29
Fe (0.9392, 0.5000, 0.0608)  6 O 1.89-1.91
Fe (0.5000, 0.0608, 0.9392)  6 O 1.89-1.91
Fe (0.0608, 0.9392, 0.5000)  6 O 1.89-1.91
B (0.5617, 0.0000, 0.4383)  3 O 1.37-1.39
B (0.0000, 0.4383, 0.5617)  3 O 1.37-1.39
B (0.4383, 0.5617, 0.0000)  3 O 1.37-1.39
B (0.0000, 0.0000, 0.0000)  3 O 1.39
O (0.5314, 0.1343, 0.2801)  1 B 1.37
O (0.1343, 0.2801, 0.5314)  1 B 1.37
O (0.8657, 0.4686, 0.7199)  1 B 1.37
O (0.2801, 0.5314, 0.1343)  1 B 1.37
O (0.7199, 0.8657, 0.4686)  1 B 1.37
O (0.4686, 0.7199, 0.8657)  1 B 1.37
O (0.1492, 0.0000, 0.8508)  1 B 1.39
O (0.0000, 0.8508, 0.1492)  1 B 1.39
O (0.8508, 0.1492, 0.0000)  1 B 1.39
O (0.4122, 0.0000, 0.5878)  1 B 1.39
O (0.0000, 0.5878, 0.4122)  1 B 1.39
O (0.5878, 0.4122, 0.0000)  1 B 1.39

Properties
Calculated volume = 178.8 Å³ per cell
Energy relative to the elements, uncorrected = -3956 kJ/mol of formula units
Space-group type = R32 (155)
E = -8.195 eV/atom


# RhI2Br

A geometry-optimized RhI2Br structure (GGA-PBEsol, the Alexandria database).

Cell: 5.0596 5.0596 5.0596 Å, 60.00 60.00 60.00°
Last column: nearest neighbours and their distance in Å.
Fractional positions:
I (0.2500, 0.2500, 0.2500)  4 Rh 3.10, 4 Br 3.10
I (0.7500, 0.7500, 0.7500)  4 Br 3.10, 4 Rh 3.10
Rh (0.5000, 0.5000, 0.5000)  8 I 3.10
Br (0.0000, 0.0000, 0.0000)  8 I 3.10

Properties
Calculated volume = 91.6 Å³ per cell
Energy relative to the elements, uncorrected = 250 kJ/mol of formula units
Space-group type = Fm-3m (225)
E = -2.738 eV/atom


# MgBi

A geometry-optimized MgBi structure (GGA-PBEsol, the Alexandria database).

Cell: 3.8653 3.8653 4.7424 Å, 65.95 65.95 60.00°
Last column: nearest neighbours and their distance in Å.
Fractional positions:
Mg (0.5000, 0.5000, 0.5000)  6 Bi 3.06
Bi (0.0000, 0.0000, 0.0000)  6 Mg 3.06

Properties
Calculated volume = 54.1 Å³ per cell
Formation enthalpy at 0 K = -0.12 eV per atom
Space-group type = R-3m (166)
E = -3.123 eV/atom


# ZnINF2

A geometry-optimized ZnINF2 structure (GGA-PBEsol, the Alexandria database).

Cell: 3.6837 3.6837 5.5103 Å, 90.00 90.00 90.00°
Last column: nearest neighbours and their distance in Å.
Fractional positions:
I (0.5000, 0.5000, 0.5000)  4 N 2.60
Zn (0.0000, 0.0000, 0.0000)  4 F 1.84
N (0.0000, 0.0000, 0.5000)  4 I 2.60, 2 Zn 2.76
F (0.0000, 0.5000, 0.0000)  2 Zn 1.84
F (0.5000, 0.0000, 0.0000)  2 Zn 1.84

Properties
Calculated volume = 74.8 Å³ per cell
Energy relative to the elements, uncorrected = -184 kJ/mol of formula units
Space-group type = P4/mmm (123)
E = -3.528 eV/atom


# OsRh2

A geometry-optimized OsRh2 structure (GGA-PBEsol, the Alexandria database).

Cell: 2.6973 5.0920 6.3661 Å, 103.74 90.00 105.36°
Last column: nearest neighbours and their distance in Å.
Fractional positions:
Os (0.0274, 0.0548, 0.8060)  9 Rh 2.63-2.70, 3 Os 2.65-2.70
Os (0.9726, 0.9452, 0.1940)  9 Rh 2.63-2.70, 3 Os 2.65-2.70
Rh (0.6354, 0.2709, 0.5274)  8 Rh 2.60-2.75, 4 Os 2.65-2.68
Rh (0.3096, 0.6193, 0.8646)  5 Os 2.63-2.70, 7 Rh 2.68-2.75
Rh (0.6904, 0.3807, 0.1354)  5 Os 2.63-2.70, 7 Rh 2.68-2.75
Rh (0.3646, 0.7291, 0.4726)  8 Rh 2.60-2.75, 4 Os 2.65-2.68

Properties
Calculated volume = 81.7 Å³ per cell
Formation enthalpy at 0 K = 0.01 eV per atom
Energy above the most stable polymorph in this dataset = 8 meV per atom
Space-group type = C2/m (12)
E = -9.485 eV/atom


# Cd5Cu24

A geometry-optimized Cd5Cu24 structure (GGA-PBEsol, the Alexandria database).

Cell: 7.8255 7.8255 7.8255 Å, 109.47 109.47 109.47°
Last column: nearest neighbours and their distance in Å.
Fractional positions:
Cd (0.0000, 0.6325, 0.0000)  12 Cu 2.57-2.85, 1 Cd 2.88
Cd (0.0000, 0.0000, 0.6325)  12 Cu 2.57-2.85, 1 Cd 2.88
Cd (0.3675, 0.3675, 0.3675)  12 Cu 2.57-2.85, 1 Cd 2.88
Cd (0.6325, 0.0000, 0.0000)  12 Cu 2.57-2.85, 1 Cd 2.88
Cd (0.0000, 0.0000, 0.0000)  12 Cu 2.86, 4 Cd 2.88
Cu (0.0000, 0.3810, 0.1923)  6 Cu 2.35-2.58
Cu (0.0000, 0.1923, 0.3810)  6 Cu 2.35-2.58
Cu (0.8114, 0.6190, 0.6190)  6 Cu 2.35-2.58
Cu (0.1886, 0.8077, 0.8077)  6 Cu 2.35-2.58
Cu (0.1923, 0.3810, 0.0000)  6 Cu 2.35-2.58
Cu (0.3810, 0.1923, 0.0000)  6 Cu 2.35-2.58
Cu (0.8077, 0.8077, 0.1886)  6 Cu 2.35-2.58
Cu (0.6190, 0.6190, 0.8114)  6 Cu 2.35-2.58
Cu (0.8077, 0.1886, 0.8077)  6 Cu 2.35-2.58
Cu (0.6190, 0.8114, 0.6190)  6 Cu 2.35-2.58
Cu (0.3810, 0.0000, 0.1923)  6 Cu 2.35-2.58
Cu (0.1923, 0.0000, 0.3810)  6 Cu 2.35-2.58
Cu (0.0000, 0.4036, 0.6761)  5 Cu 2.35-2.58, 1 Cd 2.57
Cu (0.0000, 0.6761, 0.4036)  5 Cu 2.35-2.58, 1 Cd 2.57
Cu (0.2725, 0.5964, 0.5964)  5 Cu 2.35-2.58, 1 Cd 2.57
Cu (0.7275, 0.3239, 0.3239)  5 Cu 2.35-2.58, 1 Cd 2.57
Cu (0.6761, 0.4036, 0.0000)  5 Cu 2.35-2.58, 1 Cd 2.57
Cu (0.4036, 0.6761, 0.0000)  5 Cu 2.35-2.58, 1 Cd 2.57
Cu (0.3239, 0.3239, 0.7275)  5 Cu 2.35-2.58, 1 Cd 2.57
Cu (0.5964, 0.5964, 0.2725)  5 Cu 2.35-2.58, 1 Cd 2.57
Cu (0.3239, 0.7275, 0.3239)  5 Cu 2.35-2.58, 1 Cd 2.57
Cu (0.5964, 0.2725, 0.5964)  5 Cu 2.35-2.58, 1 Cd 2.57
Cu (0.4036, 0.0000, 0.6761)  5 Cu 2.35-2.58, 1 Cd 2.57
Cu (0.6761, 0.0000, 0.4036)  5 Cu 2.35-2.58, 1 Cd 2.57

Properties
Calculated volume = 368.9 Å³ per cell
Formation enthalpy at 0 K = 0.07 eV per atom
Space-group type = I-43m (217)
E = -3.724 eV/atom